No. 1
KVHg | Alexandria via LeMat-Bulk | PBE | relaxed; uncorrected energy = -2.9477 eV per atom; distance to the lowest polymorph of the same formula = 0.261 eV/atom; density = 5.14 Mg/m³; crystal system = orthorhombic; N(E_F) = 2.35 states/eV/f.u.; E_form = 0.56 eV/atom
1.0
-7.654 3.348 2.763
-1.885 -2.413 -2.299
-0.340 -7.550 8.205
K Hg V
4 4 4
direct
0.076 0.250 0.822
0.424 0.750 0.322
0.924 0.750 0.178
0.576 0.250 0.678
0.747 0.250 0.400
0.753 0.750 0.900
0.253 0.750 0.600
0.247 0.250 0.100
0.048 0.250 0.487
0.452 0.750 0.987
0.952 0.750 0.513
0.548 0.250 0.013

---

No. 2
Ag2Pd6S | Alexandria via LeMat-Bulk | PBE | relaxed; uncorrected energy = -4.6775 eV per atom; energy relative to the elements, uncorrected = -1.1 eV/f.u.; density = 9.93 Mg/m³; crystal system = cubic; N(E_F) = 2.89 states/eV/f.u.
1.0
-3.514 0.995 -4.686
-3.588 -4.297 -1.988
-5.877 0.459 0.739
Ag Pd S
2 6 1
direct
0.250 0.250 0.250
0.750 0.750 0.750
0.266 0.734 0.734
0.266 0.734 0.266
0.734 0.266 0.734
0.734 0.266 0.266
0.734 0.734 0.266
0.266 0.266 0.734
0.000 0.000 0.000

---

No. 3
Sc3TlV | Alexandria via LeMat-Bulk | PBE | relaxed; uncorrected energy = -5.1607 eV per atom; distance to the lowest polymorph of the same formula = 0.508 eV/atom; density = 4.25 Mg/m³; crystal system = cubic; N(E_F) = 7.61 states/eV/f.u.; E_form = 0.94 eV/atom
1.0
5.344 0.000 0.000
0.000 5.344 0.000
0.000 0.000 5.344
Sc Tl V
3 1 1
direct
0.000 0.500 0.000
0.000 0.000 0.500
0.500 0.000 0.000
0.000 0.000 0.000
0.500 0.500 0.500

---

No. 4
AlSnTe2 | Alexandria via LeMat-Bulk | PBE | relaxed; uncorrected energy = -3.5955 eV per atom; energy relative to the elements, uncorrected = -0.4 eV/f.u.; density = 5.36 Mg/m³; crystal system = tetragonal; N(E_F) = 3.67 states/eV/f.u.
1.0
7.762 0.000 0.000
0.000 7.762 0.000
3.881 3.881 4.121
Te Sn Al
4 2 2
direct
0.578 0.125 0.250
0.172 0.625 0.250
0.375 0.422 0.750
0.875 0.828 0.750
0.000 0.000 0.000
0.750 0.250 0.500
0.500 0.500 0.000
0.250 0.750 0.500